# 1
Computed, not measured: a relaxed PdW2 crystal at the PBE level of DFT.

Lattice parameters (Å, degrees): 5.069 5.069 5.069 104.19 104.19 120.64
Element x y z (fractional)
Pd 0.250 0.250 0.000
Pd 0.750 0.750 0.000
W 0.141 0.641 0.782
W 0.359 0.141 0.500
W 0.641 0.859 0.500
W 0.859 0.359 0.218

Summary:
The value obtained for the total energy is -0.3657 Ha/atom. As for the energy above the most stable polymorph in this dataset: 0 meV per atom. The symmetry is I4/mcm, No. 140.



# 2
Computed, not measured: a relaxed YPd2W crystal at the PBE level of DFT.

Lattice parameters (Å, degrees): 4.638 4.638 4.638 60.00 60.00 60.00
Element x y z (fractional)
Y 0.000 0.000 0.000
Pd 0.250 0.250 0.250
Pd 0.500 0.500 0.500
W 0.750 0.750 0.750

Summary:
The value obtained for the total energy is -0.2666 Ha/atom. The symmetry is F-43m, No. 216.



# 3
Computed, not measured: a relaxed ZnPdW crystal at the PBE level of DFT.

Lattice parameters (Å, degrees): 4.246 4.246 4.246 60.00 60.00 60.00
Element x y z (fractional)
Zn 0.000 0.000 0.000
Pd 0.500 0.500 0.500
W 0.750 0.750 0.750

Summary:
The value obtained for the total energy is -0.2097 Ha/atom. As for the energy above the most stable polymorph in this dataset: 309 meV per atom. The symmetry is F-43m, No. 216.



# 4
Computed, not measured: a relaxed ZnPdW crystal at the PBE level of DFT.

Lattice parameters (Å, degrees): 4.186 4.186 4.186 60.00 60.00 60.00
Element x y z (fractional)
Zn 0.000 0.000 0.000
Pd 0.750 0.750 0.750
W 0.500 0.500 0.500

Summary:
The value obtained for the total energy is -0.2211 Ha/atom. As for the energy above the most stable polymorph in this dataset: 0 meV per atom. The symmetry is F-43m, No. 216.



# 5
Computed, not measured: a relaxed ZnPd2W crystal at the PBE level of DFT.

Lattice parameters (Å, degrees): 4.394 4.394 4.394 60.00 60.00 60.00
Element x y z (fractional)
Zn 0.000 0.000 0.000
Pd 0.500 0.500 0.500
Pd 0.750 0.750 0.750
W 0.250 0.250 0.250

Summary:
The value obtained for the total energy is -0.2213 Ha/atom. The symmetry is F-43m, No. 216.



# 6
Computed, not measured: a relaxed ZrPdW2 crystal at the PBE level of DFT.

Lattice parameters (Å, degrees): 4.598 4.598 4.598 60.00 60.00 60.00
Element x y z (fractional)
Zr 0.000 0.000 0.000
Pd 0.750 0.750 0.750
W 0.250 0.250 0.250
W 0.500 0.500 0.500

Summary:
The value obtained for the total energy is -0.3626 Ha/atom. The symmetry is F-43m, No. 216.



# 7
Computed, not measured: a relaxed Y7Pd3 crystal at the PBE level of DFT.

Lattice parameters (Å, degrees): 9.931 9.931 6.310 90.00 90.00 120.00
Element x y z (fractional)
Y 0.079 0.540 0.000
Y 0.126 0.251 0.696
Y 0.126 0.874 0.696
Y 0.251 0.126 0.196
Y 0.333 0.667 0.508
Y 0.460 0.540 0.000
Y 0.460 0.921 0.000
Y 0.540 0.079 0.500
Y 0.540 0.460 0.500
Y 0.667 0.333 0.008
Y 0.749 0.874 0.696
Y 0.874 0.126 0.196
Y 0.874 0.749 0.196
Y 0.921 0.460 0.500
Pd 0.191 0.381 0.265
Pd 0.191 0.809 0.265
Pd 0.381 0.191 0.765
Pd 0.619 0.809 0.265
Pd 0.809 0.191 0.765
Pd 0.809 0.619 0.765

Summary:
The value obtained for the total energy is -0.2438 Ha/atom. The symmetry is P6_3mc, No. 186.



# 8
Computed, not measured: a relaxed YPd2 crystal at the PBE level of DFT.

Lattice parameters (Å, degrees): 5.242 5.242 5.242 140.81 140.81 56.63
Element x y z (fractional)
Y 0.000 0.000 0.000
Pd 0.332 0.332 0.000
Pd 0.668 0.668 0.000

Summary:
The value obtained for the total energy is -0.2339 Ha/atom. The symmetry is I4/mmm, No. 139.



# 9
Computed, not measured: a relaxed Y2Pd crystal at the PBE level of DFT.

Lattice parameters (Å, degrees): 7.547 7.547 4.581 90.00 90.00 120.00
Element x y z (fractional)
Y 0.000 0.408 0.000
Y 0.000 0.739 0.500
Y 0.261 0.261 0.500
Y 0.408 0.000 0.000
Y 0.592 0.592 0.000
Y 0.739 0.000 0.500
Pd 0.000 0.000 0.000
Pd 0.333 0.667 0.500
Pd 0.667 0.333 0.500

Summary:
The value obtained for the total energy is -0.2422 Ha/atom. The symmetry is P-62m, No. 189.



# 10
Computed, not measured: a relaxed YPd3 crystal at the PBE level of DFT.

Lattice parameters (Å, degrees): 4.121 4.121 4.121 90.00 90.00 90.00
Element x y z (fractional)
Y 0.000 0.000 0.000
Pd 0.000 0.500 0.500
Pd 0.500 0.000 0.500
Pd 0.500 0.500 0.000

Summary:
The value obtained for the total energy is -0.2337 Ha/atom. The symmetry is Pm-3m, No. 221.



# 11
Computed, not measured: a relaxed Y2Pd3 crystal at the PBE level of DFT.

Lattice parameters (Å, degrees): 7.457 7.457 3.760 90.00 90.00 90.00
Element x y z (fractional)
Y 0.176 0.324 0.000
Y 0.324 0.824 0.000
Y 0.676 0.176 0.000
Y 0.824 0.676 0.000
Pd 0.000 0.000 0.500
Pd 0.129 0.629 0.500
Pd 0.371 0.129 0.500
Pd 0.500 0.500 0.500
Pd 0.629 0.871 0.500
Pd 0.871 0.371 0.500

Summary:
The value obtained for the total energy is -0.2404 Ha/atom. The symmetry is P4/mbm, No. 127.



# 12
Computed, not measured: a relaxed YPd crystal at the PBE level of DFT.

Lattice parameters (Å, degrees): 3.711 3.711 3.898 90.00 90.00 120.00
Element x y z (fractional)
Y 0.000 0.000 0.000
Pd 0.333 0.667 0.500

Summary:
The value obtained for the total energy is -0.2374 Ha/atom. The symmetry is P-6m2, No. 187.



Number 1: total magnetization 0.0 μB per cell. Number 2: total magnetization 1.0 μB per cell. Number 3: total magnetization 0.0 μB per cell. Number 4: total magnetization 0.0 μB per cell. Number 5: total magnetization 0.0 μB per cell. Number 6: total magnetization 0.0 μB per cell. Number 7: total magnetization 4.2 μB per cell. Number 8: total magnetization 0.0 μB per cell. Number 9: total magnetization 0.1 μB per cell. Number 10: total magnetization 0.0 μB per cell. Number 11: total magnetization 0.0 μB per cell. Number 12: total magnetization 0.0 μB per cell.